KTlCd (PBEsol, optimized geometry); energy above the most stable polymorph in this dataset = 2.12 kJ/mol of atoms; formation energy from the elements = -0.026 eV/atom
1.0
-1.878 2.042 6.144
1.878 -2.042 6.144
1.878 2.042 -6.144
K Tl Cd
1 1 1
Direct
0.000 0.000 0.000 K
0.699 0.699 0.000 Tl
0.303 0.303 0.000 Cd


KTl4Cd (PBEsol, optimized geometry); formation energy from the elements = 0.049 eV/atom
1.0
0.000 4.515 4.515
4.515 0.000 4.515
4.515 4.515 0.000
K Tl Cd
1 4 1
Direct
0.000 0.000 0.000 K
0.127 0.624 0.624 Tl
0.624 0.127 0.624 Tl
0.624 0.624 0.127 Tl
0.624 0.624 0.624 Tl
0.250 0.250 0.250 Cd


K2TlCd (PBEsol, optimized geometry); formation energy from the elements = -0.019 eV/atom
1.0
5.062 0.000 0.000
0.000 2.440 6.416
0.000 -2.440 6.416
K Tl Cd
2 1 1
Direct
0.000 0.000 0.000 K
0.500 0.307 0.307 K
0.000 0.709 0.709 Tl
0.500 0.601 0.601 Cd


K2TlCd (PBEsol, optimized geometry); formation energy from the elements = -0.055 eV/atom
1.0
4.533 -2.613 0.000
4.533 2.613 0.000
-3.006 0.000 6.305
K Tl Cd
2 1 1
Direct
0.000 0.000 0.000 K
0.208 0.208 0.625 K
0.437 0.437 0.313 Tl
0.770 0.770 0.312 Cd